1.
The following is a PBE calculation of a relaxed Ba3AcOs2N6 crystal, from Alexandria.

spin magnetization	0.00	μB/f.u.
formation energy (no corrections)	-0.50	eV per atom
DOS at the Fermi energy	6.9	states/eV/f.u.
electronic total energy	-88.237	eV per cell
SG	P-3m1, No. 164

```
12
Lattice="6.418 0.000 0.000 -3.209 5.558 0.000 0.000 0.000 7.526" Properties=species:S:1:pos:R:3 pbc="T T T"
Ba 0.000 0.000 0.000
Ba 0.000 3.705 5.514
Ba 3.209 1.853 2.012
Ac 0.000 0.000 3.763
Os 0.000 3.705 1.743
Os 3.209 1.853 5.783
N 0.000 1.920 2.067
N -1.546 4.598 2.067
N 1.663 0.960 5.459
N 1.546 4.598 2.067
N 4.755 0.960 5.459
N 3.209 3.638 5.459
```

---

2.
The following is a PBE calculation of a relaxed BaAc2OsN4 crystal, from Alexandria.

spin magnetization	0.00	μB/f.u.
formation energy (no corrections)	-0.57	eV per atom
DOS at the Fermi energy	3.4	states/eV/f.u.
electronic total energy	-118.395	eV per cell
SG	Cmcm, No. 63

```
16
Lattice="1.871 -6.526 0.000 1.871 6.526 0.000 0.000 0.000 13.179" Properties=species:S:1:pos:R:3 pbc="T T T"
Ba 1.871 5.712 9.884
Ba 1.871 -5.712 3.295
Ac 1.871 1.715 7.161
Ac 1.871 1.715 12.607
Ac 1.871 -1.715 0.572
Ac 1.871 -1.715 6.017
Os 1.871 3.958 3.295
Os 1.871 -3.958 9.884
N 0.000 0.000 0.000
N 0.000 0.000 6.589
N 1.871 3.164 1.587
N 1.871 3.164 5.002
N 1.871 1.633 9.884
N 1.871 -1.633 3.295
N 1.871 -3.164 8.177
N 1.871 -3.164 11.591
```

---

3.
The following is a PBE calculation of a relaxed Ba3AcP2N6 crystal, from Alexandria.

spin magnetization	0.00	μB/f.u.
formation energy (no corrections)	-0.87	eV per atom
DOS at the Fermi energy	1.9	states/eV/f.u.
electronic total energy	-81.114	eV per cell
SG	P-3m1, No. 164

```
12
Lattice="6.100 0.000 0.000 -3.050 5.282 0.000 0.000 0.000 7.718" Properties=species:S:1:pos:R:3 pbc="T T T"
Ba 0.000 0.000 0.000
Ba 0.000 3.522 5.613
Ba 3.050 1.761 2.105
Ac 0.000 0.000 3.859
P 0.000 3.522 2.046
P 3.050 1.761 5.672
N 0.000 1.930 2.132
N -1.378 4.317 2.132
N 1.671 0.965 5.586
N 1.378 4.317 2.132
N 4.428 0.965 5.586
N 3.050 3.352 5.586
```